Hf8ReSn2: optimized geometry, PBE.

Cell: 18.344 4.706 5.925 Å, 90.00 106.87 90.00°
Space group C2/m (No. 12)
Asymmetric unit:
Hf1 0.022 0.000 0.271
Hf2 0.085 0.500 0.989
Hf3 0.147 0.500 0.543
Hf4 0.229 0.000 0.843
Re1 0.000 0.500 0.500
Sn1 0.182 0.000 0.278

Summary:
- V: 489.47 Å³ per cell
- Energy: -0.6765 Ry per atom
- Formation energy: -0.106 eV per atom
- Calculated density: 12.56 Mg/m³
- Density of states at the Fermi level: 0.8897 states/eV/atom



PmNd2YHo5: optimized geometry, PBE.

Cell: 8.712 8.712 15.547 Å, 90.00 90.00 90.00°
Space group I4/mcm (No. 140)
Asymmetric unit:
Pm1 0.000 0.000 0.250
Nd1 0.117 0.383 0.000
Y1 0.000 0.500 0.250
Ho1 0.000 0.000 0.000
Ho2 0.211 0.289 0.362

Summary:
- V: 1179.85 Å³ per cell
- Energy: -0.3370 Ry per atom
- Formation energy: 0.264 eV per atom
- Calculated density: 7.58 Mg/m³
- Density of states at the Fermi level: 1.1812 states/eV/atom



LaMg2Cd: optimized geometry, PBE.

Cell: 3.434 3.541 8.582 Å, 90.00 90.00 90.00°
Space group Pmm2 (No. 25)
Asymmetric unit:
La1 0.000 0.000 0.000
Mg1 0.000 0.000 0.520
Mg2 0.500 0.500 0.292
Cd1 0.500 0.500 0.726

Summary:
- V: 104.35 Å³ per cell
- Energy: -0.1768 Ry per atom
- Formation energy: -0.148 eV per atom
- Calculated density: 4.77 Mg/m³
- Density of states at the Fermi level: 0.7130 states/eV/atom



LiSn2Se3: optimized geometry, PBE.

Cell: 4.138 5.750 12.395 Å, 90.00 90.00 90.00°
Space group Immm (No. 71)
Asymmetric unit:
Li1 0.000 0.000 0.000
Sn1 0.000 0.000 0.333
Se1 0.000 0.500 0.000
Se2 0.000 0.500 0.336

Summary:
- V: 294.92 Å³ per cell
- Energy: -0.2950 Ry per atom
- ΔE_f (raw): -3.71 eV per formula unit
- Calculated density: 5.42 Mg/m³
- Density of states at the Fermi level: 0.3550 states/eV/atom



Pr8Zn2Ag: optimized geometry, PBE.

Cell: 18.665 5.263 7.089 Å, 90.00 103.48 90.00°
Space group C2/m (No. 12)
Asymmetric unit:
Pr1 0.029 0.000 0.266
Pr2 0.091 0.500 0.957
Pr3 0.165 0.500 0.464
Pr4 0.198 0.000 0.815
Zn1 0.191 0.000 0.233
Ag1 0.000 0.500 0.500

Summary:
- V: 677.20 Å³ per cell
- Energy: -0.3000 Ry per atom
- Formation energy: -0.115 eV per atom
- Calculated density: 6.70 Mg/m³
- Density of states at the Fermi level: 1.0490 states/eV/atom



HfMnBiPd2: optimized geometry, PBE.

Cell: 4.938 4.938 4.777 Å, 90.00 90.00 90.00°
Space group P4/mmm (No. 123)
Asymmetric unit:
Hf1 0.000 0.000 0.000
Mn1 0.000 0.000 0.500
Bi1 0.500 0.500 0.500
Pd1 0.000 0.500 0.000

Summary:
- V: 116.51 Å³ per cell
- Energy: -0.4434 Ry per atom
- Formation energy: 0.645 eV per atom
- Calculated density: 9.34 Mg/m³
- Density of states at the Fermi level: 0.7769 states/eV/atom



UGa5: optimized geometry, PBE.

Cell: 4.527 8.058 6.170 Å, 90.00 90.00 90.00°
Space group Cmmm (No. 65)
Asymmetric unit:
U1 0.000 0.000 0.000
Ga1 0.000 0.000 0.500
Ga2 0.000 0.335 0.273

Summary:
- V: 225.09 Å³ per cell
- Energy: -0.3314 Ry per atom
- Formation energy: -0.106 eV per atom
- Calculated density: 8.66 Mg/m³
- Density of states at the Fermi level: 1.4869 states/eV/atom



Cs5Cl: optimized geometry, PBE.

Cell: 5.051 28.817 8.901 Å, 90.00 90.00 90.00°
Space group Cmmm (No. 65)
Asymmetric unit:
Cs1 0.000 0.000 0.000
Cs2 0.000 0.082 0.500
Cs3 0.000 0.331 0.000
Cl1 0.000 0.500 0.500

Summary:
- V: 1295.55 Å³ per cell
- Energy: -0.1138 Ry per atom
- ΔE_f (raw): -3.18 eV per formula unit
- Calculated density: 1.79 Mg/m³
- Density of states at the Fermi level: 0.8833 states/eV/atom



Tb12PrDy2: optimized geometry, PBE.

Cell: 7.138 11.216 24.459 Å, 90.00 94.16 90.00°
Space group C2/m (No. 12)
Asymmetric unit:
Tb1 0.018 0.250 0.075
Tb2 0.112 0.247 0.445
Tb3 0.140 0.500 0.576
Tb4 0.145 0.000 0.573
Tb5 0.167 0.248 0.670
Tb6 0.200 0.252 0.798
Tb7 0.215 0.000 0.860
Tb8 0.216 0.500 0.862
Pr1 0.250 0.000 0.999
Dy1 0.066 0.500 0.272
Dy2 0.070 0.000 0.273

Summary:
- V: 1952.96 Å³ per cell
- Energy: -0.3328 Ry per atom
- Formation energy: 0.109 eV per atom
- Calculated density: 8.07 Mg/m³
- Density of states at the Fermi level: 1.5559 states/eV/atom



Ca6Ag3Hg: optimized geometry, PBE.

Cell: 11.394 4.328 13.556 Å, 90.00 110.72 90.00°
Space group P2_1/m (No. 11)
Asymmetric unit:
Ca1 0.018 0.250 0.382
Ca2 0.083 0.250 0.903
Ca3 0.244 0.750 0.322
Ca4 0.339 0.750 0.793
Ca5 0.343 0.750 0.100
Ca6 0.395 0.250 0.563
Ag1 0.136 0.250 0.152
Ag2 0.194 0.750 0.534
Ag3 0.409 0.250 0.967
Hg1 0.426 0.250 0.290

Summary:
- V: 625.21 Å³ per cell
- Energy: -0.1730 Ry per atom
- Formation energy: -0.267 eV per atom
- Calculated density: 4.06 Mg/m³
- Density of states at the Fermi level: 0.6796 states/eV/atom



CaSb2Ru: optimized geometry, PBE.

Cell: 4.4393 4.4393 16.5657 Å, 90.00 90.00 120.00°
Space group R-3m (No. 166, hexagonal axes)
Asymmetric unit:
Ca1 0.0000 0.0000 0.0000
Sb1 0.0000 0.0000 0.2247
Ru1 0.0000 0.0000 0.5000

Summary:
- V: 282.73 Å³ per cell
- Energy: -0.3871 Ry per atom
- ΔE_f (raw): -1.54 eV per formula unit
- Calculated density: 6.78 Mg/m³
- Density of states at the Fermi level: 0.7884 states/eV/atom



BaNb: optimized geometry, PBE.

Cell: 6.550 10.667 16.271 Å, 90.00 90.00 90.00°
Space group Fddd (No. 70, origin choice 2)
Asymmetric unit:
Ba1 0.125 0.292 0.125
Nb1 0.125 0.125 0.557

Summary:
- V: 1136.81 Å³ per cell
- Energy: -0.3772 Ry per atom
- Formation energy: 0.864 eV per atom
- Calculated density: 5.38 Mg/m³
- Density of states at the Fermi level: 1.0471 states/eV/atom